(1)
# Cs2CoSiO4 (meta-GGA SCAN, PBEsol geometry)
data_Cs2CoSiO4
_cell_length_a 5.781
_cell_length_b 12.323
_cell_length_c 8.075
_cell_angle_alpha 90.00
_cell_angle_beta 90.00
_cell_angle_gamma 90.00
_symmetry_space_group_name_H-M 'C m c 21'
_symmetry_Int_Tables_number 36
_symmetry_space_group_name_Hall 'C 2c -2'
loop_
_atom_site_label
_atom_site_fract_x
_atom_site_fract_y
_atom_site_fract_z
_atom_site_occupancy
Cs1 0.000 0.072 0.000 1
Cs2 0.000 0.405 0.852 1
Co1 0.000 0.205 0.580 1
Si1 0.000 0.303 0.293 1
O1 0.000 0.171 0.335 1
O2 0.000 0.355 0.483 1
O3 0.231 0.343 0.192 1
# - formation energy (no corrections) (eV per atom) = -2.198

***

(2)
# LaY2Co2 (meta-GGA SCAN, PBEsol geometry)
data_LaY2Co2
_cell_length_a 6.866
_cell_length_b 6.866
_cell_length_c 4.488
_cell_angle_alpha 90.00
_cell_angle_beta 90.00
_cell_angle_gamma 90.00
_symmetry_space_group_name_H-M 'P 4/m b m'
_symmetry_Int_Tables_number 127
_symmetry_space_group_name_Hall '-P 4 2ab'
loop_
_atom_site_label
_atom_site_fract_x
_atom_site_fract_y
_atom_site_fract_z
_atom_site_occupancy
La1 0.000 0.000 0.000 1
Y1 0.168 0.332 0.500 1
Co1 0.114 0.614 0.000 1
# - ΔH_f (0 K) (eV per formula unit) = 0.3

***

(3)
# InIr2Pt (meta-GGA SCAN, PBEsol geometry)
data_InIr2Pt
_cell_length_a 2.792
_cell_length_b 4.729
_cell_length_c 9.552
_cell_angle_alpha 90.00
_cell_angle_beta 90.00
_cell_angle_gamma 90.00
_symmetry_space_group_name_H-M 'I m m 2'
_symmetry_Int_Tables_number 44
_symmetry_space_group_name_Hall 'I 2 -2'
loop_
_atom_site_label
_atom_site_fract_x
_atom_site_fract_y
_atom_site_fract_z
_atom_site_occupancy
In1 0.000 0.000 0.000 1
Ir1 0.000 0.000 0.490 1
Ir2 0.000 0.500 0.757 1
Pt1 0.000 0.500 0.240 1
# - ΔH_f (0 K) (eV per formula unit) = 0.6

***

(4)
# KZnAu2 (meta-GGA SCAN, PBEsol geometry)
data_KZnAu2
_cell_length_a 5.238
_cell_length_b 5.238
_cell_length_c 17.175
_cell_angle_alpha 90.00
_cell_angle_beta 90.00
_cell_angle_gamma 90.00
_symmetry_space_group_name_H-M 'I 41/a m d'
_symmetry_Int_Tables_number 141
loop_
_symmetry_equiv_pos_as_xyz
'x,y,z'
'-x,-y,-z'
'-y+1/4,x+3/4,z+1/4'
'y+1/4,-x+3/4,-z+1/4'
'-x+1/2,-y,z+1/2'
'x+1/2,y,-z+1/2'
'y+1/4,-x+1/4,z+3/4'
'-y+1/4,x+1/4,-z+3/4'
'x,-y,-z'
'-x,y,z'
'-y+1/4,-x+1/4,-z+3/4'
'y+1/4,x+1/4,z+3/4'
'-x+1/2,y,-z+1/2'
'x+1/2,-y,z+1/2'
'y+1/4,x+3/4,-z+1/4'
'-y+1/4,-x+3/4,z+1/4'
'x+1/2,y+1/2,z+1/2'
'-x+1/2,-y+1/2,-z+1/2'
'-y+3/4,x+1/4,z+3/4'
'y+3/4,-x+1/4,-z+3/4'
'-x,-y+1/2,z'
'x,y+1/2,-z'
'y+3/4,-x+3/4,z+1/4'
'-y+3/4,x+3/4,-z+1/4'
'x+1/2,-y+1/2,-z+1/2'
'-x+1/2,y+1/2,z+1/2'
'-y+3/4,-x+3/4,-z+1/4'
'y+3/4,x+3/4,z+1/4'
'-x,y+1/2,-z'
'x,-y+1/2,z'
'y+3/4,x+1/4,-z+3/4'
'-y+3/4,-x+1/4,z+3/4'
loop_
_atom_site_label
_atom_site_fract_x
_atom_site_fract_y
_atom_site_fract_z
_atom_site_occupancy
K1 0.000 0.250 0.375 1
Zn1 0.000 0.250 0.875 1
Au1 0.000 0.000 0.000 1
# - ΔH_f (0 K) (eV per formula unit) = -1.1

***

(5)
# Ir2WBr (meta-GGA SCAN, PBEsol geometry)
data_Ir2WBr
_cell_length_a 2.829
_cell_length_b 4.483
_cell_length_c 4.985
_cell_angle_alpha 90.00
_cell_angle_beta 91.07
_cell_angle_gamma 90.00
_symmetry_space_group_name_H-M 'P 1 m 1'
_symmetry_Int_Tables_number 6
_symmetry_space_group_name_Hall 'P -2y'
loop_
_atom_site_label
_atom_site_fract_x
_atom_site_fract_y
_atom_site_fract_z
_atom_site_occupancy
Ir1 0.000 0.000 0.000 1
Ir2 0.034 0.500 0.332 1
W1 0.565 0.000 0.488 1
Br1 0.154 0.500 0.821 1
# - relative energy among the computed polymorphs (eV/f.u.) = 0.000
# - formation energy (no corrections) (eV per atom) = 0.763

***

(6)
# Tl3Cd (meta-GGA SCAN, PBEsol geometry)
data_Tl3Cd
_cell_length_a 6.013
_cell_length_b 6.013
_cell_length_c 6.013
_cell_angle_alpha 90.00
_cell_angle_beta 90.00
_cell_angle_gamma 90.00
_symmetry_space_group_name_H-M 'P m -3 n'
_symmetry_Int_Tables_number 223
_symmetry_space_group_name_Hall '-P 4n 2 3'
loop_
_atom_site_label
_atom_site_fract_x
_atom_site_fract_y
_atom_site_fract_z
_atom_site_occupancy
Tl1 0.000 0.250 0.500 1
Cd1 0.000 0.000 0.000 1
# - ΔH_f (0 K) (eV per formula unit) = 0.3

***

(7)
# Ca2Al2FeSi4BO16 (meta-GGA SCAN, PBEsol geometry)
data_Ca2Al2FeSi4BO16
_cell_length_a 7.199
_cell_length_b 9.004
_cell_length_c 9.025
_cell_angle_alpha 88.21
_cell_angle_beta 77.24
_cell_angle_gamma 81.13
_symmetry_space_group_name_H-M 'P -1'
_symmetry_Int_Tables_number 2
_symmetry_space_group_name_Hall '-P 1'
loop_
_atom_site_label
_atom_site_fract_x
_atom_site_fract_y
_atom_site_fract_z
_atom_site_occupancy
Ca1 0.172 0.401 0.093 1
Ca2 0.235 0.881 0.674 1
Al1 0.055 0.240 0.814 1
Al2 0.342 0.087 0.942 1
Fe1 0.230 0.620 0.386 1
Si1 0.211 0.271 0.448 1
Si2 0.218 0.980 0.274 1
Si3 0.299 0.510 0.733 1
Si4 0.350 0.738 0.982 1
B1 0.468 0.210 0.630 1
O1 0.019 0.933 0.252 1
O2 0.047 0.312 0.604 1
O3 0.101 0.193 0.999 1
O4 0.121 0.439 0.837 1
O5 0.134 0.143 0.362 1
O6 0.208 0.673 0.135 1
O7 0.229 0.418 0.340 1
O8 0.230 0.620 0.600 1
O9 0.280 0.895 0.906 1
O10 0.321 0.858 0.388 1
O11 0.329 0.144 0.738 1
O12 0.377 0.612 0.845 1
O13 0.387 0.004 0.129 1
O14 0.426 0.202 0.477 1
O15 0.442 0.264 0.979 1
O16 0.478 0.374 0.662 1
# - formation energy (no corrections) (eV per atom) = -3.000

***

(8)
# RbBa3Au (meta-GGA SCAN, PBEsol geometry)
data_RbBa3Au
_cell_length_a 6.495
_cell_length_b 6.495
_cell_length_c 6.495
_cell_angle_alpha 90.00
_cell_angle_beta 90.00
_cell_angle_gamma 90.00
_symmetry_space_group_name_H-M 'P m -3 m'
_symmetry_Int_Tables_number 221
_symmetry_space_group_name_Hall '-P 4 2 3'
loop_
_atom_site_label
_atom_site_fract_x
_atom_site_fract_y
_atom_site_fract_z
_atom_site_occupancy
Rb1 0.000 0.000 0.000 1
Ba1 0.000 0.500 0.500 1
Au1 0.500 0.500 0.500 1
# - ΔH_f (0 K) (eV per formula unit) = -1.7

***

(9)
# Ta2BeSi (meta-GGA SCAN, PBEsol geometry)
data_Ta2BeSi
_cell_length_a 3.422
_cell_length_b 3.478
_cell_length_c 4.943
_cell_angle_alpha 90.00
_cell_angle_beta 110.23
_cell_angle_gamma 90.00
_symmetry_space_group_name_H-M 'P 1 m 1'
_symmetry_Int_Tables_number 6
_symmetry_space_group_name_Hall 'P -2y'
loop_
_atom_site_label
_atom_site_fract_x
_atom_site_fract_y
_atom_site_fract_z
_atom_site_occupancy
Ta1 0.000 0.000 0.000 1
Ta2 0.304 0.500 0.610 1
Be1 0.576 0.500 0.150 1
Si1 0.715 0.000 0.433 1
# - relative energy among the computed polymorphs (eV/f.u.) = 0.000
# - formation energy (no corrections) (eV per atom) = -0.521

***

(10)
# LiAg5 (meta-GGA SCAN, PBEsol geometry)
data_LiAg5
_cell_length_a 10.502
_cell_length_b 2.843
_cell_length_c 6.809
_cell_angle_alpha 90.00
_cell_angle_beta 105.89
_cell_angle_gamma 90.00
_symmetry_space_group_name_H-M 'C 1 m 1'
_symmetry_Int_Tables_number 8
_symmetry_space_group_name_Hall 'C -2y'
loop_
_atom_site_label
_atom_site_fract_x
_atom_site_fract_y
_atom_site_fract_z
_atom_site_occupancy
Li1 0.000 0.000 0.000 1
Ag1 0.111 0.500 0.725 1
Ag2 0.166 0.500 0.328 1
Ag3 0.278 0.000 0.054 1
Ag4 0.337 0.000 0.671 1
Ag5 0.446 0.500 0.387 1
# - relative energy among the computed polymorphs (eV/f.u.) = 0.085
# - ΔH_f (0 K) (eV per formula unit) = -0.4

***

(11)
# ZrBeNi2 (meta-GGA SCAN, PBEsol geometry)
data_ZrBeNi2
_cell_length_a 4.009
_cell_length_b 4.009
_cell_length_c 3.197
_cell_angle_alpha 90.00
_cell_angle_beta 90.00
_cell_angle_gamma 90.00
_symmetry_space_group_name_H-M 'P 4/m m m'
_symmetry_Int_Tables_number 123
_symmetry_space_group_name_Hall '-P 4 2'
loop_
_atom_site_label
_atom_site_fract_x
_atom_site_fract_y
_atom_site_fract_z
_atom_site_occupancy
Zr1 0.000 0.000 0.000 1
Be1 0.500 0.500 0.000 1
Ni1 0.000 0.500 0.500 1
# - relative energy among the computed polymorphs (eV/f.u.) = 0.733
# - ΔH_f (0 K) (eV per formula unit) = -0.6

***

(12)
# SrZnIn2 (meta-GGA SCAN, PBEsol geometry)
data_SrZnIn2
_cell_length_a 3.731
_cell_length_b 4.494
_cell_length_c 6.481
_cell_angle_alpha 90.00
_cell_angle_beta 106.55
_cell_angle_gamma 90.00
_symmetry_space_group_name_H-M 'P 1 m 1'
_symmetry_Int_Tables_number 6
_symmetry_space_group_name_Hall 'P -2y'
loop_
_atom_site_label
_atom_site_fract_x
_atom_site_fract_y
_atom_site_fract_z
_atom_site_occupancy
Sr1 0.000 0.000 0.000 1
Zn1 0.613 0.500 0.229 1
In1 0.325 0.500 0.653 1
In2 0.733 0.000 0.469 1
# - ΔH_f (0 K) (eV per formula unit) = -1.0